Compound: Ac4P3
Source: Alexandria
Functional: PBE
Structure: optimized geometry

Geometry as CIF:
```
data_Ac4P3
_cell_length_a 4.4161
_cell_length_b 4.4161
_cell_length_c 43.1365
_cell_angle_alpha 90.00
_cell_angle_beta 90.00
_cell_angle_gamma 120.00
_symmetry_space_group_name_H-M 'R -3 m'
_symmetry_Int_Tables_number 166
_symmetry_space_group_name_Hall '-R 3 2"'
loop_
_atom_site_label
_atom_site_fract_x
_atom_site_fract_y
_atom_site_fract_z
_atom_site_occupancy
Ac1 0.0000 0.0000 0.1228 1
Ac2 0.0000 0.0000 0.3741 1
P1 0.0000 0.0000 0.0000 1
P2 0.0000 0.0000 0.2478 1
```

M_tot (μB/f.u.): 0.10
Energy of formation (meV/atom): -1224

***

Compound: SrZnSi2
Source: Alexandria
Functional: PBE
Structure: optimized geometry

Geometry as CIF:
```
data_SrZnSi2
_cell_length_a 8.378
_cell_length_b 3.797
_cell_length_c 5.869
_cell_angle_alpha 90.00
_cell_angle_beta 107.17
_cell_angle_gamma 90.00
_symmetry_space_group_name_H-M 'C 1 2/m 1'
_symmetry_Int_Tables_number 12
_symmetry_space_group_name_Hall '-C 2y'
loop_
_atom_site_label
_atom_site_fract_x
_atom_site_fract_y
_atom_site_fract_z
_atom_site_occupancy
Sr1 0.000 0.000 0.000 1
Zn1 0.000 0.500 0.500 1
Si1 0.238 0.000 0.631 1
```

M_tot (μB/f.u.): 0.00
ΔE_f (raw) (eV/atom): -0.177

***

Compound: PrHoZnIr
Source: Alexandria
Functional: PBE
Structure: optimized geometry

Geometry as CIF:
```
data_PrHoZnIr
_cell_length_a 4.380
_cell_length_b 3.967
_cell_length_c 10.874
_cell_angle_alpha 90.00
_cell_angle_beta 90.00
_cell_angle_gamma 90.00
_symmetry_space_group_name_H-M 'A m m 2'
_symmetry_Int_Tables_number 38
_symmetry_space_group_name_Hall 'A 2 -2'
loop_
_atom_site_label
_atom_site_fract_x
_atom_site_fract_y
_atom_site_fract_z
_atom_site_occupancy
Pr1 0.000 0.000 0.000 1
Ho1 0.500 0.000 0.719 1
Zn1 0.500 0.000 0.423 1
Ir1 0.000 0.000 0.283 1
```

M_tot (μB/f.u.): 0.00
Energy of formation (meV/atom): -541
Distance to the lowest polymorph of the same formula (meV per atom): 0

***

Compound: PrPaCu
Source: Alexandria
Functional: PBE
Structure: optimized geometry

Geometry as CIF:
```
data_PrPaCu
_cell_length_a 5.288
_cell_length_b 10.245
_cell_length_c 10.551
_cell_angle_alpha 90.00
_cell_angle_beta 90.00
_cell_angle_gamma 90.00
_symmetry_space_group_name_H-M 'F m m m'
_symmetry_Int_Tables_number 69
_symmetry_space_group_name_Hall '-F 2 2'
loop_
_atom_site_label
_atom_site_fract_x
_atom_site_fract_y
_atom_site_fract_z
_atom_site_occupancy
Pr1 0.000 0.000 0.152 1
Pa1 0.000 0.173 0.500 1
Cu1 0.250 0.250 0.250 1
```

M_tot (μB/f.u.): 0.00
Energy of formation (meV/atom): 112